(1)
! AcSmSn3 PBE relaxed; values from VASP
! D(E_F)	0.728	states/eV per atom
! ρ	7.70	g/cm3
! energy of formation from the pure elements	-0.61	eV/atom
! SG	Cmcm
&SYSTEM
  ibrav = 0, nat = 10, ntyp = 3
/
ATOMIC_SPECIES
Ac 227.00 Ac.upf
Sm 150.36 Sm.upf
Sn 118.71 Sn.upf
CELL_PARAMETERS angstrom
-1.079 -3.127 3.039
-1.695 -2.649 -3.327
14.647 -5.213 -0.161
ATOMIC_POSITIONS crystal
Ac 0.750 0.922 0.844
Ac 0.250 0.078 0.156
Sm 0.750 0.205 0.411
Sm 0.250 0.795 0.589
Sn 0.750 0.628 0.256
Sn 0.750 0.530 0.060
Sn 0.250 0.470 0.940
Sn 0.750 0.308 0.616
Sn 0.250 0.372 0.744
Sn 0.250 0.692 0.384

(2)
! AcSmSn2 PBE relaxed; values from VASP
! D(E_F)	0.970	states/eV per atom
! ρ	8.27	g/cm3
! energy of formation from the pure elements	-0.62	eV/atom
! SG	P4/mmm
&SYSTEM
  ibrav = 0, nat = 4, ntyp = 3
/
ATOMIC_SPECIES
Ac 227.00 Ac.upf
Sm 150.36 Sm.upf
Sn 118.71 Sn.upf
CELL_PARAMETERS angstrom
3.696 0.000 0.000
0.000 3.696 0.000
0.000 0.000 9.037
ATOMIC_POSITIONS crystal
Ac 0.500 0.500 0.000
Sm 0.500 0.500 0.500
Sn 0.000 0.000 0.264
Sn 0.000 0.000 0.736

(3)
! Ac7SmSn5 PBE relaxed; values from VASP
! D(E_F)	1.010	states/eV per atom
! ρ	8.15	g/cm3
! energy of formation from the pure elements	-0.43	eV/atom
! SG	Imm2
&SYSTEM
  ibrav = 0, nat = 13, ntyp = 3
/
ATOMIC_SPECIES
Ac 227.00 Ac.upf
Sn 118.71 Sn.upf
Sm 150.36 Sm.upf
CELL_PARAMETERS angstrom
6.934 0.000 0.000
3.467 8.283 0.181
3.467 0.154 8.284
ATOMIC_POSITIONS crystal
Ac 0.272 0.228 0.228
Ac 0.239 0.761 0.761
Ac 0.021 0.658 0.300
Ac 0.532 0.802 0.135
Ac 0.021 0.300 0.658
Ac 0.532 0.135 0.802
Ac 0.594 0.406 0.406
Sn 0.553 0.988 0.460
Sn 0.553 0.460 0.988
Sn 0.999 0.988 0.460
Sn 0.999 0.460 0.988
Sn 0.782 0.718 0.718
Sm 0.906 0.094 0.094

(4)
! AcSmSn4 PBE relaxed; values from VASP
! excess energy over the best structure of this formula in the dataset	0.1567	eV/atom
! D(E_F)	1.282	states/eV per atom
! ρ	7.98	g/cm3
! energy of formation from the pure elements	-0.37	eV/atom
! SG	F-43m
&SYSTEM
  ibrav = 0, nat = 6, ntyp = 3
/
ATOMIC_SPECIES
Sn 118.71 Sn.upf
Ac 227.00 Ac.upf
Sm 150.36 Sm.upf
CELL_PARAMETERS angstrom
6.307 0.000 0.000
3.154 5.462 0.000
3.154 1.821 5.150
ATOMIC_POSITIONS crystal
Sn 0.123 0.626 0.626
Sn 0.626 0.123 0.626
Sn 0.626 0.626 0.123
Sn 0.626 0.626 0.626
Ac 0.250 0.250 0.250
Sm 0.000 0.000 0.000

(5)
! Ac4SmSn15 PBE relaxed; values from VASP
! D(E_F)	0.617	states/eV per atom
! ρ	8.08	g/cm3
! energy of formation from the pure elements	-0.49	eV/atom
! SG	P4/mmm
&SYSTEM
  ibrav = 0, nat = 20, ntyp = 3
/
ATOMIC_SPECIES
Sn 118.71 Sn.upf
Ac 227.00 Ac.upf
Sm 150.36 Sm.upf
CELL_PARAMETERS angstrom
-1.530 2.106 -4.122
3.685 -2.072 -2.427
-14.098 -19.519 -4.739
ATOMIC_POSITIONS crystal
Sn 0.000 0.500 0.500
Sn 0.500 0.000 0.703
Sn 0.000 0.500 0.297
Sn 0.500 0.500 0.000
Sn 0.500 0.000 0.094
Sn 0.000 0.500 0.703
Sn 0.000 0.500 0.906
Sn 0.500 0.000 0.906
Sn 0.500 0.500 0.196
Sn 0.500 0.500 0.804
Sn 0.000 0.500 0.094
Sn 0.500 0.500 0.399
Sn 0.500 0.500 0.601
Sn 0.500 0.000 0.297
Sn 0.500 0.000 0.500
Ac 0.000 0.000 0.805
Ac 0.000 0.000 0.195
Ac 0.000 0.000 0.602
Ac 0.000 0.000 0.398
Sm 0.000 0.000 0.000

(6)
! AcSm4Sn4 PBE relaxed; values from VASP
! D(E_F)	1.086	states/eV per atom
! ρ	6.61	g/cm3
! energy of formation from the pure elements	-0.47	eV/atom
! SG	P4_2/n
&SYSTEM
  ibrav = 0, nat = 18, ntyp = 3
/
ATOMIC_SPECIES
Sm 150.36 Sm.upf
Sn 118.71 Sn.upf
Ac 227.00 Ac.upf
CELL_PARAMETERS angstrom
6.260 0.000 0.000
0.000 10.228 0.000
0.000 0.000 10.228
ATOMIC_POSITIONS crystal
Sm 0.390 0.355 0.889
Sm 0.610 0.889 0.645
Sm 0.390 0.645 0.111
Sm 0.890 0.611 0.855
Sm 0.890 0.389 0.145
Sm 0.110 0.855 0.389
Sm 0.110 0.145 0.611
Sm 0.610 0.111 0.355
Sn 0.598 0.801 0.348
Sn 0.098 0.152 0.301
Sn 0.098 0.848 0.699
Sn 0.402 0.348 0.199
Sn 0.902 0.699 0.152
Sn 0.598 0.199 0.652
Sn 0.902 0.301 0.848
Sn 0.402 0.652 0.801
Ac 0.000 0.000 0.000
Ac 0.500 0.500 0.500

(7)
! Ac5SmSn5 PBE relaxed; values from VASP
! D(E_F)	0.926	states/eV per atom
! ρ	6.96	g/cm3
! energy of formation from the pure elements	-0.47	eV/atom
! SG	C2/m
&SYSTEM
  ibrav = 0, nat = 11, ntyp = 3
/
ATOMIC_SPECIES
Ac 227.00 Ac.upf
Sn 118.71 Sn.upf
Sm 150.36 Sm.upf
CELL_PARAMETERS angstrom
-3.733 -4.509 -3.248
2.553 -2.581 7.548
-7.448 5.160 1.397
ATOMIC_POSITIONS crystal
Ac 0.334 0.667 0.168
Ac 0.666 0.333 0.832
Ac 0.000 0.000 0.500
Ac 0.325 0.649 0.672
Ac 0.675 0.351 0.328
Sn 0.159 0.319 0.325
Sn 0.841 0.681 0.675
Sn 0.157 0.314 0.842
Sn 0.500 0.000 0.000
Sn 0.843 0.686 0.158
Sm 0.000 0.000 0.000

(8)
! AcSmSn2 PBE relaxed; values from VASP
! D(E_F)	1.045	states/eV per atom
! ρ	8.22	g/cm3
! energy of formation from the pure elements	-0.59	eV/atom
! SG	P4/mmm
&SYSTEM
  ibrav = 0, nat = 4, ntyp = 3
/
ATOMIC_SPECIES
Sn 118.71 Sn.upf
Sm 150.36 Sm.upf
Ac 227.00 Ac.upf
CELL_PARAMETERS angstrom
4.578 0.000 0.000
0.000 5.208 0.000
0.000 0.000 5.208
ATOMIC_POSITIONS crystal
Sn 0.000 0.000 0.500
Sn 0.000 0.500 0.000
Sm 0.500 0.000 0.000
Ac 0.500 0.500 0.500

(9)
! Ac2Sm3Sn4 PBE relaxed; values from VASP
! excess energy over the best structure of this formula in the dataset	0.1246	eV/atom
! D(E_F)	0.581	states/eV per atom
! ρ	7.67	g/cm3
! energy of formation from the pure elements	-0.66	eV/atom
! SG	Cmce
&SYSTEM
  ibrav = 0, nat = 18, ntyp = 3
/
ATOMIC_SPECIES
Sn 118.71 Sn.upf
Ac 227.00 Ac.upf
Sm 150.36 Sm.upf
CELL_PARAMETERS angstrom
7.300 0.000 0.000
0.000 9.188 0.000
-3.650 0.000 8.906
ATOMIC_POSITIONS crystal
Sn 0.716 0.750 0.932
Sn 0.784 0.250 0.068
Sn 0.686 0.554 0.373
Sn 0.284 0.250 0.068
Sn 0.186 0.946 0.373
Sn 0.314 0.446 0.627
Sn 0.814 0.054 0.627
Sn 0.216 0.750 0.932
Ac 0.110 0.587 0.221
Ac 0.890 0.413 0.779
Ac 0.610 0.913 0.221
Ac 0.390 0.087 0.779
Sm 0.958 0.250 0.415
Sm 0.500 0.500 0.000
Sm 0.000 0.000 0.000
Sm 0.542 0.750 0.585
Sm 0.042 0.750 0.585
Sm 0.458 0.250 0.415

(10)
! AcSmSn6 PBE relaxed; values from VASP
! D(E_F)	0.627	states/eV per atom
! ρ	8.00	g/cm3
! energy of formation from the pure elements	-0.49	eV/atom
! SG	P4/mmm
&SYSTEM
  ibrav = 0, nat = 8, ntyp = 3
/
ATOMIC_SPECIES
Sn 118.71 Sn.upf
Sm 150.36 Sm.upf
Ac 227.00 Ac.upf
CELL_PARAMETERS angstrom
4.876 0.000 0.000
0.000 4.876 0.000
0.000 0.000 9.512
ATOMIC_POSITIONS crystal
Sn 0.500 0.500 0.500
Sn 0.000 0.500 0.259
Sn 0.500 0.000 0.259
Sn 0.500 0.000 0.741
Sn 0.000 0.500 0.741
Sn 0.500 0.500 0.000
Sm 0.000 0.000 0.500
Ac 0.000 0.000 0.000

(11)
! Ac5Sm2Sn4 PBE relaxed; values from VASP
! D(E_F)	1.126	states/eV per atom
! ρ	7.48	g/cm3
! energy of formation from the pure elements	-0.11	eV/atom
! SG	C2/m
&SYSTEM
  ibrav = 0, nat = 11, ntyp = 3
/
ATOMIC_SPECIES
Ac 227.00 Ac.upf
Sn 118.71 Sn.upf
Sm 150.36 Sm.upf
CELL_PARAMETERS angstrom
4.214 0.000 0.000
0.000 8.594 -1.025
-2.107 -5.188 12.333
ATOMIC_POSITIONS crystal
Ac 0.872 0.745 0.743
Ac 0.500 0.000 0.000
Ac 0.128 0.255 0.257
Ac 0.845 0.161 0.691
Ac 0.155 0.839 0.309
Sn 0.589 0.483 0.178
Sn 0.411 0.517 0.822
Sn 0.999 0.324 0.998
Sn 0.001 0.676 0.002
Sm 0.275 0.370 0.551
Sm 0.725 0.630 0.449

(12)
! Ac2SmSn5 PBE relaxed; values from VASP
! D(E_F)	0.408	states/eV per atom
! ρ	8.16	g/cm3
! energy of formation from the pure elements	-0.59	eV/atom
! SG	I4mm
&SYSTEM
  ibrav = 0, nat = 8, ntyp = 3
/
ATOMIC_SPECIES
Sn 118.71 Sn.upf
Sm 150.36 Sm.upf
Ac 227.00 Ac.upf
CELL_PARAMETERS angstrom
-0.223 1.667 7.336
-5.329 -5.215 1.023
5.815 -1.177 -3.416
ATOMIC_POSITIONS crystal
Sn 0.692 0.270 0.962
Sn 0.270 0.270 0.962
Sn 0.692 0.692 0.963
Sn 0.271 0.692 0.963
Sn 0.743 0.743 0.485
Sm 0.132 0.132 0.264
Ac 0.239 0.739 0.478
Ac 0.739 0.240 0.478

(13)
! Ac2Sm2Sn7 PBE relaxed; values from VASP
! D(E_F)	0.804	states/eV per atom
! ρ	6.64	g/cm3
! energy of formation from the pure elements	-0.22	eV/atom
! SG	Cmmm
&SYSTEM
  ibrav = 0, nat = 11, ntyp = 3
/
ATOMIC_SPECIES
Ac 227.00 Ac.upf
Sn 118.71 Sn.upf
Sm 150.36 Sm.upf
CELL_PARAMETERS angstrom
8.155 -0.003 -0.178
0.003 5.989 0.003
-0.686 -0.003 8.128
ATOMIC_POSITIONS crystal
Ac 0.201 0.500 0.201
Ac 0.799 0.500 0.799
Sn 0.500 0.743 0.000
Sn 0.500 0.257 0.000
Sn 0.000 0.257 0.500
Sn 0.500 0.747 0.500
Sn 0.500 0.253 0.500
Sn 0.000 0.000 0.000
Sn 0.000 0.743 0.500
Sm 0.741 0.000 0.259
Sm 0.259 0.000 0.741

(14)
! Ac2Sm3Sn4 PBE relaxed; values from VASP
! excess energy over the best structure of this formula in the dataset	0.0000	eV/atom
! D(E_F)	0.911	states/eV per atom
! ρ	7.83	g/cm3
! energy of formation from the pure elements	-0.78	eV/atom
! SG	P2_1/c
&SYSTEM
  ibrav = 0, nat = 18, ntyp = 3
/
ATOMIC_SPECIES
Sn 118.71 Sn.upf
Sm 150.36 Sm.upf
Ac 227.00 Ac.upf
CELL_PARAMETERS angstrom
-5.030 -6.686 0.270
4.402 0.622 7.363
-6.292 4.869 3.350
ATOMIC_POSITIONS crystal
Sn 0.354 0.083 0.959
Sn 0.364 0.494 0.367
Sn 0.864 0.494 0.133
Sn 0.136 0.506 0.867
Sn 0.646 0.917 0.041
Sn 0.636 0.506 0.633
Sn 0.146 0.917 0.459
Sn 0.854 0.083 0.541
Sm 0.252 0.751 0.169
Sm 0.748 0.249 0.831
Sm 0.248 0.249 0.669
Sm 0.000 0.500 0.500
Sm 0.752 0.751 0.331
Sm 0.500 0.500 0.000
Ac 0.566 0.193 0.325
Ac 0.434 0.807 0.675
Ac 0.934 0.807 0.825
Ac 0.066 0.193 0.175

(15)
! AcSm8Sn6 PBE relaxed; values from VASP
! D(E_F)	0.620	states/eV per atom
! ρ	7.15	g/cm3
! energy of formation from the pure elements	-0.56	eV/atom
! SG	R-3
&SYSTEM
  ibrav = 0, nat = 15, ntyp = 3
/
ATOMIC_SPECIES
Sm 150.36 Sm.upf
Sn 118.71 Sn.upf
Ac 227.00 Ac.upf
CELL_PARAMETERS angstrom
-3.078 -4.997 -7.276
5.851 -5.662 -4.592
-0.662 -8.481 0.100
ATOMIC_POSITIONS crystal
Sm 0.332 0.332 0.003
Sm 0.894 0.567 0.314
Sm 0.433 0.775 0.686
Sm 0.225 0.894 0.314
Sm 0.106 0.433 0.686
Sm 0.567 0.225 0.314
Sm 0.775 0.106 0.686
Sm 0.668 0.668 0.997
Sn 0.068 0.726 0.795
Sn 0.932 0.274 0.205
Sn 0.589 0.932 0.205
Sn 0.274 0.589 0.205
Sn 0.411 0.068 0.795
Sn 0.726 0.411 0.795
Ac 0.000 0.000 0.000

(16)
! AcSmSn2 PBE relaxed; values from VASP
! D(E_F)	0.785	states/eV per atom
! ρ	7.62	g/cm3
! energy of formation from the pure elements	-0.59	eV/atom
! SG	R-3m
&SYSTEM
  ibrav = 0, nat = 4, ntyp = 3
/
ATOMIC_SPECIES
Sn 118.71 Sn.upf
Sm 150.36 Sm.upf
Ac 227.00 Ac.upf
CELL_PARAMETERS angstrom
-2.096 -3.637 3.062
-1.381 -4.594 -1.995
4.069 -4.806 1.486
ATOMIC_POSITIONS crystal
Sn 0.762 0.762 0.714
Sn 0.238 0.238 0.286
Sm 0.500 0.500 0.500
Ac 0.000 0.000 0.000

(17)
! Ac2Sm2Sn PBE relaxed; values from VASP
! D(E_F)	1.168	states/eV per atom
! ρ	7.39	g/cm3
! energy of formation from the pure elements	0.10	eV/atom
! SG	I4/mmm
&SYSTEM
  ibrav = 0, nat = 5, ntyp = 3
/
ATOMIC_SPECIES
Sm 150.36 Sm.upf
Ac 227.00 Ac.upf
Sn 118.71 Sn.upf
CELL_PARAMETERS angstrom
-0.776 -2.745 3.417
-1.226 -3.196 -2.846
10.363 -0.226 -0.729
ATOMIC_POSITIONS crystal
Sm 0.250 0.750 0.500
Sm 0.750 0.250 0.500
Ac 0.414 0.414 0.827
Ac 0.586 0.586 0.173
Sn 0.000 0.000 0.000

(18)
! Ac3SmSn6 PBE relaxed; values from VASP
! D(E_F)	0.713	states/eV per atom
! ρ	7.86	g/cm3
! energy of formation from the pure elements	-0.63	eV/atom
! SG	R-3c
&SYSTEM
  ibrav = 0, nat = 20, ntyp = 3
/
ATOMIC_SPECIES
Sn 118.71 Sn.upf
Ac 227.00 Ac.upf
Sm 150.36 Sm.upf
CELL_PARAMETERS angstrom
-1.400 -4.622 7.295
8.211 -2.655 -1.439
1.952 7.604 3.861
ATOMIC_POSITIONS crystal
Sn 0.412 0.487 0.133
Sn 0.487 0.133 0.412
Sn 0.588 0.513 0.867
Sn 0.633 0.987 0.912
Sn 0.367 0.013 0.088
Sn 0.013 0.088 0.367
Sn 0.987 0.912 0.633
Sn 0.133 0.412 0.487
Sn 0.513 0.867 0.588
Sn 0.088 0.367 0.013
Sn 0.912 0.633 0.987
Sn 0.867 0.588 0.513
Ac 0.318 0.182 0.750
Ac 0.250 0.682 0.818
Ac 0.182 0.750 0.318
Ac 0.682 0.818 0.250
Ac 0.750 0.318 0.182
Ac 0.818 0.250 0.682
Sm 0.000 0.000 0.000
Sm 0.500 0.500 0.500

(19)
! Ac5SmSn6 PBE relaxed; values from VASP
! D(E_F)	0.962	states/eV per atom
! ρ	7.74	g/cm3
! energy of formation from the pure elements	-0.59	eV/atom
! SG	C2/m
&SYSTEM
  ibrav = 0, nat = 12, ntyp = 3
/
ATOMIC_SPECIES
Ac 227.00 Ac.upf
Sn 118.71 Sn.upf
Sm 150.36 Sm.upf
CELL_PARAMETERS angstrom
-4.458 -5.475 4.906
1.759 -6.741 0.231
5.968 -1.825 6.463
ATOMIC_POSITIONS crystal
Ac 0.500 0.500 0.000
Ac 0.500 0.188 0.625
Ac 0.500 0.812 0.375
Ac 0.000 0.354 0.293
Ac 0.000 0.646 0.707
Sn 0.204 0.649 0.330
Sn 0.204 0.979 0.670
Sn 0.796 0.021 0.330
Sn 0.300 0.173 0.000
Sn 0.700 0.827 0.000
Sn 0.796 0.351 0.670
Sm 0.000 0.000 0.000

(20)
! Ac3SmSn2 PBE relaxed; values from VASP
! D(E_F)	1.300	states/eV per atom
! ρ	7.05	g/cm3
! energy of formation from the pure elements	-0.32	eV/atom
! SG	Ibam
&SYSTEM
  ibrav = 0, nat = 12, ntyp = 3
/
ATOMIC_SPECIES
Ac 227.00 Ac.upf
Sm 150.36 Sm.upf
Sn 118.71 Sn.upf
CELL_PARAMETERS angstrom
-2.555 4.426 -5.726
3.570 -5.204 -5.615
-7.053 -3.778 5.371
ATOMIC_POSITIONS crystal
Ac 0.500 0.250 0.000
Ac 0.212 0.462 0.423
Ac 0.212 0.962 0.423
Ac 0.500 0.750 0.000
Ac 0.788 0.538 0.577
Ac 0.788 0.038 0.577
Sm 0.000 0.000 0.000
Sm 0.000 0.500 0.000
Sn 0.552 0.361 0.722
Sn 0.448 0.639 0.278
Sn 0.170 0.861 0.722
Sn 0.830 0.139 0.278